# 1
# Li2OsRh (PBE, relaxed)
data_Li2OsRh
_symmetry_space_group_name_H-M 'P 1 2/m 1'
_symmetry_Int_Tables_number 10
_cell_length_a 2.638
_cell_length_b 4.522
_cell_length_c 4.589
_cell_angle_alpha 90.00
_cell_angle_beta 92.36
_cell_angle_gamma 90.00
loop_
_symmetry_equiv_pos_as_xyz
'x,y,z'
'-x,-y,-z'
'-x,y,-z'
'x,-y,z'
loop_
_atom_site_label
_atom_site_type_symbol
_atom_site_fract_x
_atom_site_fract_y
_atom_site_fract_z
Li1 Li 0.229 0.000 0.250
Os1 Os 0.500 0.500 0.000
Rh1 Rh 0.000 0.500 0.500
# - Fermi-level density of states: 0.500 states/eV/atom
# - Distance to the lowest polymorph of the same formula: 67 meV per atom
# - DFT formation energy: 0.036 eV/atom
# - Total magnetization: 0.00 μB/cell

***

# 2
# Li2OsRh (PBE, relaxed)
data_Li2OsRh
_symmetry_space_group_name_H-M 'P 4/m m m'
_symmetry_Int_Tables_number 123
_symmetry_space_group_name_Hall '-P 4 2'
_cell_length_a 4.455
_cell_length_b 4.455
_cell_length_c 2.557
_cell_angle_alpha 90.00
_cell_angle_beta 90.00
_cell_angle_gamma 90.00
loop_
_atom_site_label
_atom_site_type_symbol
_atom_site_fract_x
_atom_site_fract_y
_atom_site_fract_z
Li1 Li 0.000 0.500 0.000
Os1 Os 0.000 0.000 0.500
Rh1 Rh 0.500 0.500 0.500
# - Fermi-level density of states: 0.923 states/eV/atom
# - Distance to the lowest polymorph of the same formula: 410 meV per atom
# - DFT formation energy: 0.379 eV/atom
# - Total magnetization: 0.63 μB/cell

***

# 3
# Li2OsRh (PBE, relaxed)
data_Li2OsRh
_symmetry_space_group_name_H-M 'P 4 m m'
_symmetry_Int_Tables_number 99
_cell_length_a 2.779
_cell_length_b 2.779
_cell_length_c 7.284
_cell_angle_alpha 90.00
_cell_angle_beta 90.00
_cell_angle_gamma 90.00
loop_
_symmetry_equiv_pos_as_xyz
'x,y,z'
'-y,x,z'
'-x,-y,z'
'y,-x,z'
'-x,y,z'
'y,x,z'
'x,-y,z'
'-y,-x,z'
loop_
_atom_site_label
_atom_site_type_symbol
_atom_site_fract_x
_atom_site_fract_y
_atom_site_fract_z
Li1 Li 0.000 0.000 0.000
Li2 Li 0.500 0.500 0.268
Os1 Os 0.000 0.000 0.521
Rh1 Rh 0.500 0.500 0.755
# - Fermi-level density of states: 0.584 states/eV/atom
# - Distance to the lowest polymorph of the same formula: 96 meV per atom
# - DFT formation energy: 0.064 eV/atom
# - Total magnetization: 0.00 μB/cell

***

# 4
# LiOs4Rh (PBE, relaxed)
data_LiOs4Rh
_symmetry_space_group_name_H-M 'F -4 3 m'
_symmetry_Int_Tables_number 216
_symmetry_space_group_name_Hall 'F -4 2 3'
_cell_length_a 7.232
_cell_length_b 7.232
_cell_length_c 7.232
_cell_angle_alpha 90.00
_cell_angle_beta 90.00
_cell_angle_gamma 90.00
loop_
_atom_site_label
_atom_site_type_symbol
_atom_site_fract_x
_atom_site_fract_y
_atom_site_fract_z
Li1 Li 0.000 0.000 0.000
Os1 Os 0.125 0.125 0.625
Rh1 Rh 0.250 0.250 0.250
# - Fermi-level density of states: 1.446 states/eV/atom
# - DFT formation energy: 0.660 eV/atom
# - Total magnetization: 0.00 μB/cell

***

# 5
# LiOs2Rh (PBE, relaxed)
data_LiOs2Rh
_symmetry_space_group_name_H-M 'C m m 2'
_symmetry_Int_Tables_number 35
_cell_length_a 2.760
_cell_length_b 4.569
_cell_length_c 9.094
_cell_angle_alpha 90.00
_cell_angle_beta 90.00
_cell_angle_gamma 90.00
loop_
_symmetry_equiv_pos_as_xyz
'x,y,z'
'-x,-y,z'
'-x,y,z'
'x,-y,z'
'x+1/2,y+1/2,z'
'-x+1/2,-y+1/2,z'
'-x+1/2,y+1/2,z'
'x+1/2,-y+1/2,z'
loop_
_atom_site_label
_atom_site_type_symbol
_atom_site_fract_x
_atom_site_fract_y
_atom_site_fract_z
Li1 Li 0.000 0.000 0.000
Os1 Os 0.000 0.000 0.505
Os2 Os 0.000 0.500 0.256
Rh1 Rh 0.000 0.500 0.759
# - Fermi-level density of states: 1.215 states/eV/atom
# - Distance to the lowest polymorph of the same formula: 219 meV per atom
# - DFT formation energy: 0.334 eV/atom
# - Total magnetization: 0.00 μB/cell

***

# 6
# LiOs2Rh2 (PBE, relaxed)
data_LiOs2Rh2
_symmetry_space_group_name_H-M 'P 4/m b m'
_symmetry_Int_Tables_number 127
_symmetry_space_group_name_Hall '-P 4 2ab'
_cell_length_a 7.612
_cell_length_b 7.612
_cell_length_c 2.694
_cell_angle_alpha 90.00
_cell_angle_beta 90.00
_cell_angle_gamma 90.00
loop_
_atom_site_label
_atom_site_type_symbol
_atom_site_fract_x
_atom_site_fract_y
_atom_site_fract_z
Li1 Li 0.000 0.000 0.000
Os1 Os 0.119 0.381 0.000
Rh1 Rh 0.175 0.675 0.500
# - Fermi-level density of states: 1.186 states/eV/atom
# - DFT formation energy: 0.210 eV/atom
# - Total magnetization: 0.00 μB/cell

***

# 7
# LiOsRh6 (PBE, relaxed)
data_LiOsRh6
_symmetry_space_group_name_H-M 'C 1 2/m 1'
_symmetry_Int_Tables_number 12
_cell_length_a 8.524
_cell_length_b 3.823
_cell_length_c 7.656
_cell_angle_alpha 90.00
_cell_angle_beta 116.68
_cell_angle_gamma 90.00
loop_
_symmetry_equiv_pos_as_xyz
'x,y,z'
'-x,-y,-z'
'-x,y,-z'
'x,-y,z'
'x+1/2,y+1/2,z'
'-x+1/2,-y+1/2,-z'
'-x+1/2,y+1/2,-z'
'x+1/2,-y+1/2,z'
loop_
_atom_site_label
_atom_site_type_symbol
_atom_site_fract_x
_atom_site_fract_y
_atom_site_fract_z
Li1 Li 0.000 0.000 0.000
Os1 Os 0.000 0.000 0.500
Rh1 Rh 0.003 0.500 0.747
Rh2 Rh 0.249 0.500 0.123
Rh3 Rh 0.250 0.000 0.375
# - Fermi-level density of states: 1.152 states/eV/atom
# - DFT formation energy: -0.009 eV/atom
# - Total magnetization: 0.00 μB/cell

***

# 8
# LiOs2Rh (PBE, relaxed)
data_LiOs2Rh
_symmetry_space_group_name_H-M 'I -4 2 d'
_symmetry_Int_Tables_number 122
_symmetry_space_group_name_Hall 'I -4 2bw'
_cell_length_a 7.620
_cell_length_b 7.620
_cell_length_c 4.602
_cell_angle_alpha 90.00
_cell_angle_beta 90.00
_cell_angle_gamma 90.00
loop_
_atom_site_label
_atom_site_type_symbol
_atom_site_fract_x
_atom_site_fract_y
_atom_site_fract_z
Li1 Li 0.000 0.000 0.000
Os1 Os 0.189 0.250 0.625
Rh1 Rh 0.000 0.000 0.500
# - Fermi-level density of states: 1.134 states/eV/atom
# - Distance to the lowest polymorph of the same formula: 709 meV per atom
# - DFT formation energy: 0.824 eV/atom
# - Total magnetization: 0.00 μB/cell

***

# 9
# LiOs2Rh (PBE, relaxed)
data_LiOs2Rh
_symmetry_space_group_name_H-M 'C m m m'
_symmetry_Int_Tables_number 65
_symmetry_space_group_name_Hall '-C 2 2'
_cell_length_a 2.717
_cell_length_b 4.548
_cell_length_c 9.285
_cell_angle_alpha 90.00
_cell_angle_beta 90.00
_cell_angle_gamma 90.00
loop_
_atom_site_label
_atom_site_type_symbol
_atom_site_fract_x
_atom_site_fract_y
_atom_site_fract_z
Li1 Li 0.000 0.000 0.000
Os1 Os 0.000 0.500 0.249
Rh1 Rh 0.000 0.000 0.500
# - Fermi-level density of states: 0.840 states/eV/atom
# - Distance to the lowest polymorph of the same formula: 246 meV per atom
# - DFT formation energy: 0.361 eV/atom
# - Total magnetization: 0.00 μB/cell

***

# 10
# LiOs2Rh (PBE, relaxed)
data_LiOs2Rh
_symmetry_space_group_name_H-M 'P m m 2'
_symmetry_Int_Tables_number 25
_cell_length_a 2.723
_cell_length_b 3.809
_cell_length_c 5.279
_cell_angle_alpha 90.00
_cell_angle_beta 90.00
_cell_angle_gamma 90.00
loop_
_symmetry_equiv_pos_as_xyz
'x,y,z'
'-x,-y,z'
'-x,y,z'
'x,-y,z'
loop_
_atom_site_label
_atom_site_type_symbol
_atom_site_fract_x
_atom_site_fract_y
_atom_site_fract_z
Li1 Li 0.000 0.000 0.000
Os1 Os 0.000 0.000 0.496
Os2 Os 0.500 0.500 0.272
Rh1 Rh 0.500 0.500 0.788
# - Fermi-level density of states: 0.918 states/eV/atom
# - Distance to the lowest polymorph of the same formula: 4 meV per atom
# - DFT formation energy: 0.119 eV/atom
# - Total magnetization: 0.00 μB/cell

***

# 11
# LiOs2Rh (PBE, relaxed)
data_LiOs2Rh
_symmetry_space_group_name_H-M 'I m m 2'
_symmetry_Int_Tables_number 44
_cell_length_a 2.849
_cell_length_b 4.401
_cell_length_c 8.391
_cell_angle_alpha 90.00
_cell_angle_beta 90.00
_cell_angle_gamma 90.00
loop_
_symmetry_equiv_pos_as_xyz
'x,y,z'
'-x,-y,z'
'-x,y,z'
'x,-y,z'
'x+1/2,y+1/2,z+1/2'
'-x+1/2,-y+1/2,z+1/2'
'-x+1/2,y+1/2,z+1/2'
'x+1/2,-y+1/2,z+1/2'
loop_
_atom_site_label
_atom_site_type_symbol
_atom_site_fract_x
_atom_site_fract_y
_atom_site_fract_z
Li1 Li 0.000 0.000 0.000
Os1 Os 0.000 0.000 0.501
Os2 Os 0.000 0.500 0.739
Rh1 Rh 0.000 0.500 0.274
# - Fermi-level density of states: 0.942 states/eV/atom
# - Distance to the lowest polymorph of the same formula: 140 meV per atom
# - DFT formation energy: 0.255 eV/atom
# - Total magnetization: 0.00 μB/cell

***

# 12
# LiOs2Rh (PBE, relaxed)
data_LiOs2Rh
_symmetry_space_group_name_H-M 'P 1 2/m 1'
_symmetry_Int_Tables_number 10
_cell_length_a 2.657
_cell_length_b 4.175
_cell_length_c 5.053
_cell_angle_alpha 90.00
_cell_angle_beta 104.48
_cell_angle_gamma 90.00
loop_
_symmetry_equiv_pos_as_xyz
'x,y,z'
'-x,-y,-z'
'-x,y,-z'
'x,-y,z'
loop_
_atom_site_label
_atom_site_type_symbol
_atom_site_fract_x
_atom_site_fract_y
_atom_site_fract_z
Li1 Li 0.000 0.000 0.000
Os1 Os 0.392 0.500 0.234
Rh1 Rh 0.000 0.000 0.500
# - Fermi-level density of states: 0.815 states/eV/atom
# - Distance to the lowest polymorph of the same formula: 126 meV per atom
# - DFT formation energy: 0.241 eV/atom
# - Total magnetization: 0.00 μB/cell